1.
Pu3CuNi8 PBE optimized geometry; uncorrected energy = -95.8 eV per formula unit; SG = R3m
1.0
2.475 1.429 8.094
-2.475 1.429 8.094
0.000 -2.858 8.094
Pu Cu Ni
3 1 8
direct
0.000 0.000 0.000
0.128 0.128 0.128
0.508 0.508 0.508
0.631 0.631 0.631
0.061 0.565 0.565
0.068 0.068 0.568
0.068 0.568 0.068
0.316 0.316 0.316
0.565 0.061 0.565
0.565 0.565 0.061
0.568 0.068 0.068
0.816 0.816 0.816


2.
HoGe2SbO8 PBE optimized geometry; SG = I-4m2; formation energy from raw total energies = -1.87 eV per atom
1.0
-3.442 3.442 3.146
3.442 -3.442 3.146
3.442 3.442 -3.146
Ho Ge Sb O
1 2 1 8
direct
0.000 0.000 0.000
0.250 0.750 0.500
0.500 0.500 0.000
0.750 0.250 0.500
0.047 0.369 0.323
0.047 0.724 0.677
0.119 0.312 0.807
0.276 0.953 0.323
0.505 0.312 0.193
0.631 0.953 0.677
0.688 0.495 0.807
0.688 0.881 0.193


3.
Ni3Rh3W PBE optimized geometry; SG = P2_13; E above lowest polymorph = 0 meV/atom
1.0
7.232 0.000 0.000
0.000 7.232 0.000
0.000 0.000 7.232
Ni Rh W
12 12 4
direct
0.148 0.352 0.648
0.153 0.153 0.153
0.167 0.833 0.333
0.333 0.167 0.833
0.347 0.847 0.653
0.352 0.648 0.148
0.648 0.148 0.352
0.653 0.347 0.847
0.667 0.667 0.667
0.833 0.333 0.167
0.847 0.653 0.347
0.852 0.852 0.852
0.042 0.677 0.633
0.133 0.458 0.323
0.177 0.867 0.958
0.323 0.133 0.458
0.367 0.542 0.823
0.458 0.323 0.133
0.542 0.823 0.367
0.633 0.042 0.677
0.677 0.633 0.042
0.823 0.367 0.542
0.867 0.958 0.177
0.958 0.177 0.867
0.029 0.529 0.971
0.471 0.471 0.471
0.529 0.971 0.029
0.971 0.029 0.529


4.
Tb3Pr2Ho6In PBE optimized geometry; uncorrected energy = -54.4 eV per formula unit; SG = C2/m
1.0
3.049 -5.284 0.000
3.049 5.284 0.000
-2.043 0.000 11.553
Tb Pr Ho In
3 2 6 1
direct
0.000 0.000 0.000
0.333 0.667 0.000
0.667 0.333 0.000
0.166 0.834 0.500
0.834 0.166 0.500
0.090 0.417 0.250
0.256 0.256 0.751
0.417 0.090 0.250
0.583 0.910 0.750
0.744 0.744 0.249
0.910 0.583 0.750
0.500 0.500 0.500


5.
K2RbSbPt PBE optimized geometry; SG = P4/mmm; formation energy from raw total energies = -0.23 eV per atom
1.0
6.349 0.000 0.000
0.000 6.349 0.000
0.000 0.000 5.102
K Rb Sb Pt
2 1 1 1
direct
0.000 0.500 0.000
0.500 0.000 0.000
0.000 0.000 0.500
0.500 0.500 0.500
0.500 0.500 0.000


6.
Pr2Er5Sc2 PBE optimized geometry; SG = P-1; E above lowest polymorph = 0 meV/atom
1.0
6.057 0.000 0.000
-3.017 5.257 0.000
-3.023 -1.751 8.562
Pr Er Sc
2 5 2
direct
0.164 0.336 0.000
0.836 0.664 0.000
0.061 0.113 0.339
0.276 0.557 0.661
0.500 0.000 0.000
0.724 0.443 0.339
0.939 0.887 0.661
0.395 0.784 0.341
0.605 0.216 0.659


7.
LaPmNd PBE optimized geometry; SG = Ima2; E above lowest polymorph = 39 meV/atom
1.0
7.145 0.000 0.000
0.000 10.149 0.000
0.000 0.000 5.847
La Pm Nd
4 4 4
direct
0.250 0.173 0.000
0.250 0.327 0.500
0.750 0.673 0.500
0.750 0.827 0.000
0.250 0.664 0.504
0.250 0.836 0.004
0.750 0.164 0.004
0.750 0.336 0.504
0.000 0.000 0.502
0.000 0.500 0.002
0.500 0.000 0.502
0.500 0.500 0.002


8.
Sc2TaCu PBE optimized geometry; SG = I-42d; E above lowest polymorph = 448 meV/atom
1.0
7.423 0.000 0.000
0.000 7.423 0.000
0.000 0.000 5.669
Sc Ta Cu
8 4 4
direct
0.211 0.250 0.125
0.250 0.711 0.375
0.250 0.789 0.875
0.289 0.250 0.625
0.711 0.750 0.625
0.750 0.211 0.875
0.750 0.289 0.375
0.789 0.750 0.125
0.000 0.000 0.500
0.000 0.500 0.750
0.500 0.000 0.250
0.500 0.500 0.000
0.000 0.000 0.000
0.000 0.500 0.250
0.500 0.000 0.750
0.500 0.500 0.500


9.
LaSmHf PBE optimized geometry; SG = P3m1; E above lowest polymorph = 61 meV/atom
1.0
3.457 0.000 0.000
-1.729 2.994 0.000
0.000 0.000 8.640
La Sm Hf
1 1 1
direct
0.000 0.000 0.000
0.333 0.667 0.619
0.667 0.333 0.314


10.
ScAl2Rh4 PBE optimized geometry; uncorrected energy = -48.1 eV per formula unit; SG = I4/mmm
1.0
6.067 0.000 0.000
0.000 6.067 0.000
0.000 0.000 5.936
Sc Al Rh
2 4 8
direct
0.000 0.000 0.000
0.500 0.500 0.500
0.000 0.500 0.000
0.000 0.500 0.500
0.500 0.000 0.000
0.500 0.000 0.500
0.250 0.250 0.250
0.250 0.250 0.750
0.250 0.750 0.250
0.250 0.750 0.750
0.750 0.250 0.250
0.750 0.250 0.750
0.750 0.750 0.250
0.750 0.750 0.750


11.
Co2SiAg PBE optimized geometry; SG = P4/mmm; formation energy from raw total energies = -0.12 eV per atom
1.0
2.757 0.000 0.000
0.000 2.757 0.000
0.000 0.000 6.520
Co Si Ag
2 1 1
direct
0.000 0.000 0.199
0.000 0.000 0.801
0.500 0.500 0.000
0.500 0.500 0.500


12.
CsMoC2 PBE optimized geometry; uncorrected energy = -27.5 eV per formula unit; SG = I4_1/amd
1.0
6.383 0.000 0.000
0.000 6.383 0.000
0.000 0.000 9.011
Cs Mo C
4 4 8
direct
0.000 0.250 0.375
0.000 0.750 0.625
0.500 0.250 0.125
0.500 0.750 0.875
0.000 0.250 0.875
0.000 0.750 0.125
0.500 0.250 0.625
0.500 0.750 0.375
0.000 0.000 0.000
0.000 0.500 0.000
0.250 0.250 0.750
0.250 0.750 0.250
0.500 0.000 0.500
0.500 0.500 0.500
0.750 0.250 0.750
0.750 0.750 0.250